Entry 1:
# PBE-GGA BaC2, relaxed
# Calculated formation energy   0.734 eV per atom
# Magnetic moment   0.0 μB/cell
# Total DFT energy (no corrections)   -6.06 eV per atom
# Crystal system   orthorhombic
data_BaC2
_cell_length_a 2.817
_cell_length_b 11.281
_cell_length_c 5.838
_cell_angle_alpha 90.00
_cell_angle_beta 90.00
_cell_angle_gamma 90.00
_symmetry_space_group_name_H-M 'C m c m'
_symmetry_Int_Tables_number 63
_symmetry_space_group_name_Hall '-C 2c 2'
loop_
_atom_site_label
_atom_site_type_symbol
_atom_site_fract_x
_atom_site_fract_y
_atom_site_fract_z
Ba1 Ba 0.000 0.119 0.250
C1 C 0.000 0.155 0.750
C2 C 0.000 0.386 0.250

---

Entry 2:
# PBE-GGA BaC2, relaxed
# Calculated formation energy   2.510 eV per atom
# Magnetic moment   0.0 μB/cell
# Total DFT energy (no corrections)   -4.28 eV per atom
# Crystal system   tetragonal
data_BaC2
_cell_length_a 3.019
_cell_length_b 3.019
_cell_length_c 4.994
_cell_angle_alpha 90.00
_cell_angle_beta 90.00
_cell_angle_gamma 90.00
_symmetry_space_group_name_H-M 'P 4/m m m'
_symmetry_Int_Tables_number 123
_symmetry_space_group_name_Hall '-P 4 2'
loop_
_atom_site_label
_atom_site_type_symbol
_atom_site_fract_x
_atom_site_fract_y
_atom_site_fract_z
Ba1 Ba 0.000 0.000 0.000
C1 C 0.000 0.500 0.500

---

Entry 3:
# PBE-GGA BaC, relaxed
# Calculated formation energy   0.142 eV per atom
# Energy above the lowest structure with this stoichiometry   64.0 meV per atom
# Magnetic moment   0.0 μB/cell
# Total DFT energy (no corrections)   -5.43 eV per atom
# Crystal system   orthorhombic
data_BaC
_cell_length_a 9.028
_cell_length_b 9.844
_cell_length_c 12.656
_cell_angle_alpha 90.00
_cell_angle_beta 90.00
_cell_angle_gamma 90.00
_symmetry_space_group_name_H-M 'F d d d'
_symmetry_Int_Tables_number 70
loop_
_symmetry_equiv_pos_as_xyz
'x,y,z'
'-x,-y,-z'
'-x+1/4,-y+1/4,z'
'x+1/4,y+1/4,-z'
'x,-y+1/4,-z+1/4'
'-x,y+1/4,z+1/4'
'-x+1/4,y,-z+1/4'
'x+1/4,-y,z+1/4'
'x,y+1/2,z+1/2'
'-x,-y+1/2,-z+1/2'
'-x+1/4,-y+3/4,z+1/2'
'x+1/4,y+3/4,-z+1/2'
'x,-y+3/4,-z+3/4'
'-x,y+3/4,z+3/4'
'-x+1/4,y+1/2,-z+3/4'
'x+1/4,-y+1/2,z+3/4'
'x+1/2,y,z+1/2'
'-x+1/2,-y,-z+1/2'
'-x+3/4,-y+1/4,z+1/2'
'x+3/4,y+1/4,-z+1/2'
'x+1/2,-y+1/4,-z+3/4'
'-x+1/2,y+1/4,z+3/4'
'-x+3/4,y,-z+3/4'
'x+3/4,-y,z+3/4'
'x+1/2,y+1/2,z'
'-x+1/2,-y+1/2,-z'
'-x+3/4,-y+3/4,z'
'x+3/4,y+3/4,-z'
'x+1/2,-y+3/4,-z+1/4'
'-x+1/2,y+3/4,z+1/4'
'-x+3/4,y+1/2,-z+1/4'
'x+3/4,-y+1/2,z+1/4'
loop_
_atom_site_label
_atom_site_type_symbol
_atom_site_fract_x
_atom_site_fract_y
_atom_site_fract_z
Ba1 Ba 0.125 0.125 0.361
C1 C 0.125 0.060 0.125

---

Entry 4:
# PBE-GGA BaC, relaxed
# Calculated formation energy   1.483 eV per atom
# Energy above the lowest structure with this stoichiometry   1404.6 meV per atom
# Magnetic moment   7.7 μB/cell
# Total DFT energy (no corrections)   -4.09 eV per atom
# Crystal system   orthorhombic
data_BaC
_cell_length_a 3.857
_cell_length_b 11.403
_cell_length_c 4.599
_cell_angle_alpha 90.00
_cell_angle_beta 90.00
_cell_angle_gamma 90.00
_symmetry_space_group_name_H-M 'C m c m'
_symmetry_Int_Tables_number 63
_symmetry_space_group_name_Hall '-C 2c 2'
loop_
_atom_site_label
_atom_site_type_symbol
_atom_site_fract_x
_atom_site_fract_y
_atom_site_fract_z
Ba1 Ba 0.000 0.122 0.250
C1 C 0.000 0.383 0.250

---

Entry 5:
# PBE-GGA BaC, relaxed
# Calculated formation energy   0.149 eV per atom
# Energy above the lowest structure with this stoichiometry   70.3 meV per atom
# Magnetic moment   0.0 μB/cell
# Total DFT energy (no corrections)   -5.42 eV per atom
# Crystal system   trigonal
data_BaC
_cell_length_a 5.0824
_cell_length_b 5.0824
_cell_length_c 14.3752
_cell_angle_alpha 90.00
_cell_angle_beta 90.00
_cell_angle_gamma 120.00
_symmetry_space_group_name_H-M 'R -3 m'
_symmetry_Int_Tables_number 166
_symmetry_space_group_name_Hall '-R 3 2"'
loop_
_atom_site_label
_atom_site_type_symbol
_atom_site_fract_x
_atom_site_fract_y
_atom_site_fract_z
Ba1 Ba 0.0000 0.0000 0.2491
C1 C 0.0000 0.0000 0.4546

---

Entry 6:
# PBE-GGA BaC2, relaxed
# Calculated formation energy   1.691 eV per atom
# Magnetic moment   0.0 μB/cell
# Total DFT energy (no corrections)   -5.10 eV per atom
# Crystal system   orthorhombic
data_BaC2
_cell_length_a 3.696
_cell_length_b 18.166
_cell_length_c 2.874
_cell_angle_alpha 90.00
_cell_angle_beta 90.00
_cell_angle_gamma 90.00
_symmetry_space_group_name_H-M 'C m c m'
_symmetry_Int_Tables_number 63
_symmetry_space_group_name_Hall '-C 2c 2'
loop_
_atom_site_label
_atom_site_type_symbol
_atom_site_fract_x
_atom_site_fract_y
_atom_site_fract_z
Ba1 Ba 0.000 0.125 0.250
C1 C 0.000 0.261 0.750
C2 C 0.000 0.489 0.250